No. 1
Below is a geometry-optimized Ba3VB structure, with properties calculated at the GGA-PBE level.

Its total energy is -3.416 eV per atom. The value obtained for the density of states at the Fermi level is 6.5 states/eV/f.u.

The space group is Pm-3m (No. 221) and the conventional cell measures 5.894, 5.894 and 5.894 Å, with angles of 90.00, 90.00 and 90.00 degrees. The inequivalent atoms are Ba at (0.000, 0.000, 0.500), V at (0.500, 0.500, 0.500) and B at (0.000, 0.000, 0.000).


No. 2
Below is a geometry-optimized MgAs2PbBr structure, with properties calculated at the GGA-PBE level.

The uncorrected formation energy is 0.111 eV per atom. The value obtained for the density of states at the Fermi level is 3.7 states/eV/f.u. Its polymorph energy (0 for the lowest one) is 0.00 eV/f.u.

The space group is P4/mmm (No. 123) and the conventional cell measures 5.041, 5.041 and 5.385 Å, with angles of 90.00, 90.00 and 90.00 degrees. The inequivalent atoms are Mg at (0.000, 0.000, 0.000), As at (0.000, 0.500, 0.000), Pb at (0.500, 0.500, 0.500) and Br at (0.000, 0.000, 0.500).


No. 3
Below is a geometry-optimized ScIrO2F structure, with properties calculated at the GGA-PBE level.

The uncorrected formation energy is -0.915 eV per atom. The value obtained for the density of states at the Fermi level is 4.6 states/eV/f.u.

The space group is P4/mmm (No. 123) and the conventional cell measures 3.952, 3.952 and 4.255 Å, with angles of 90.00, 90.00 and 90.00 degrees. The inequivalent atoms are Sc at (0.000, 0.000, 0.000), Ir at (0.500, 0.500, 0.500), O at (0.000, 0.500, 0.500) and F at (0.500, 0.500, 0.000).


> Number 2 is which compound?

MgAs2PbBr


Please write out number 3 again, unchanged.
Below is a geometry-optimized ScIrO2F structure, with properties calculated at the GGA-PBE level.

The uncorrected formation energy is -0.915 eV per atom. The value obtained for the density of states at the Fermi level is 4.6 states/eV/f.u.

The space group is P4/mmm (No. 123) and the conventional cell measures 3.952, 3.952 and 4.255 Å, with angles of 90.00, 90.00 and 90.00 degrees. The inequivalent atoms are Sc at (0.000, 0.000, 0.000), Ir at (0.500, 0.500, 0.500), O at (0.000, 0.500, 0.500) and F at (0.500, 0.500, 0.000).